# 1
4
Lattice="-2.727 -1.410 1.771 1.437 -3.221 -0.352 2.925 2.893 3.312" Properties=species:S:1:pos:R:3 comment="GGA-PBEsol ScBeP2, relaxed" energy_ev_per_atom=-6.246 mass_density_g_cm3=3.29 vol_a3_per_atom=14.630 spacegroup="No. 8" magnetic_moment_mub_per_atom=0.000 pbc="T T T"
Sc -0.702 -2.420 1.435
P 3.748 -0.572 2.683
P 0.499 0.034 1.727
Be 1.806 -1.424 2.556


# 2
4
Lattice="2.756 0.000 0.000 0.000 3.263 0.000 0.000 0.000 5.617" Properties=species:S:1:pos:R:3 comment="GGA-PBEsol ScBe2P, relaxed" energy_ev_per_atom=-5.282 mass_density_g_cm3=3.09 vol_a3_per_atom=12.630 spacegroup="No. 25" magnetic_moment_mub_per_atom=0.000 pbc="T T T"
Sc 1.378 1.632 4.172
P 0.000 0.000 2.531
Be 0.000 0.000 0.393
Be 1.378 1.632 1.330


# 3
5
Lattice="4.802 0.000 0.000 0.000 4.802 0.000 0.000 0.000 4.802" Properties=species:S:1:pos:R:3 comment="GGA-PBEsol ScBeP3, relaxed" energy_ev_per_atom=-4.650 mass_density_g_cm3=2.20 vol_a3_per_atom=22.151 spacegroup="No. 221" magnetic_moment_mub_per_atom=0.000 pbc="T T T"
Sc 0.000 0.000 0.000
P 0.000 2.401 0.000
P 0.000 0.000 2.401
P 2.401 0.000 0.000
Be 2.401 2.401 2.401


# 4
4
Lattice="-0.157 -1.141 -3.167 -0.022 -2.726 2.776 -6.667 0.286 0.227" Properties=species:S:1:pos:R:3 comment="GGA-PBEsol BePSe2, relaxed" formation_energy_uncorrected_mev_per_atom=271.1 mass_density_g_cm3=4.17 vol_a3_per_atom=19.724 polymorph_energy_mev_per_atom=0.0 spacegroup="No. 65" magnetic_moment_mub_per_atom=0.000 pbc="T T T"
P -0.078 -0.571 -1.583
Se -4.872 0.209 0.166
Se -1.794 0.077 0.061
Be -3.412 -0.428 -1.470


# 5
6
Lattice="5.031 0.000 0.000 2.515 4.357 0.000 2.515 1.452 4.108" Properties=species:S:1:pos:R:3 comment="GGA-PBEsol BeP4Se, relaxed" formation_energy_uncorrected_mev_per_atom=770.4 mass_density_g_cm3=3.91 vol_a3_per_atom=15.004 spacegroup="No. 216" magnetic_moment_mub_per_atom=0.000 pbc="T T T"
P 5.031 2.904 0.573
P 3.822 3.602 2.547
P 5.031 1.508 2.547
P 6.240 3.602 2.547
Se 2.515 1.452 1.027
Be 0.000 0.000 0.000


# 6
4
Lattice="-1.123 -0.477 2.885 1.757 -2.580 0.258 4.708 3.447 2.403" Properties=species:S:1:pos:R:3 comment="GGA-PBEsol BePSe2, relaxed" formation_energy_uncorrected_mev_per_atom=493.6 mass_density_g_cm3=5.31 vol_a3_per_atom=15.476 polymorph_energy_mev_per_atom=222.5 spacegroup="No. 123" magnetic_moment_mub_per_atom=0.000 pbc="T T T"
P 2.671 0.195 2.773
Se 3.637 2.663 1.857
Se 1.071 0.784 0.547
Be 0.317 -1.528 1.571